(1)
VASP calculation (PBE) on a relaxed RbGaHg5 crystal.

Cell lengths 6.8549, 6.8549, 6.8549 Å; angles 131.26, 114.75, 85.52 degrees
Element x y z (fractional)
Rb1 0.0000 0.0000 0.0000
Ga1 0.5000 0.5000 0.0000
Hg1 0.0148 0.3050 0.7098
Hg2 0.4048 0.6950 0.7098
Hg3 0.5000 0.0000 0.5000
Hg4 0.5952 0.3050 0.2902
Hg5 0.9852 0.6950 0.2902

Output
ΔE_f, eV/atom: -0.109
Size of the total moment, μB per cell: 0.0
Mass density, g cm⁻³: 9.14
Symmetry: Immm (71)

=====

(2)
VASP calculation (PBE) on a relaxed NbGaB3 crystal.

Cell lengths 4.3418, 4.3418, 4.3418 Å; angles 90.00, 90.00, 90.00 degrees
Element x y z (fractional)
Nb1 0.0000 0.0000 0.0000
Ga1 0.5000 0.5000 0.5000
B1 0.0000 0.0000 0.5000
B2 0.0000 0.5000 0.0000
B3 0.5000 0.0000 0.0000

Output
ΔE_f, eV/atom: 1.488
E above lowest polymorph, meV per atom: 0
Size of the total moment, μB per cell: 0.0
Mass density, g cm⁻³: 3.96
Symmetry: Pm-3m (221)

=====

(3)
VASP calculation (PBE) on a relaxed TlIn4Ag crystal.

Cell lengths 6.1796, 6.1796, 6.1796 Å; angles 60.00, 60.00, 60.00 degrees
Element x y z (fractional)
Tl1 0.0000 0.0000 0.0000
In1 0.3753 0.3753 0.3753
In2 0.3753 0.3753 0.8740
In3 0.3753 0.8740 0.3753
In4 0.8740 0.3753 0.3753
Ag1 0.7500 0.7500 0.7500

Output
ΔE_f, eV/atom: 0.192
E above lowest polymorph, meV per atom: 168
Size of the total moment, μB per cell: 0.0
Mass density, g cm⁻³: 7.68
Symmetry: F-43m (216)

=====

(4)
VASP calculation (PBE) on a relaxed Ti5Cu2Mo crystal.

Cell lengths 6.9109, 6.9109, 6.9109 Å; angles 141.99, 141.99, 54.84 degrees
Element x y z (fractional)
Ti1 0.0000 0.0000 0.0000
Ti2 0.1248 0.6248 0.5000
Ti3 0.3752 0.8752 0.5000
Ti4 0.6248 0.1248 0.5000
Ti5 0.8752 0.3752 0.5000
Cu1 0.2480 0.2480 0.0000
Cu2 0.7520 0.7520 0.0000
Mo1 0.5000 0.5000 0.0000

Output
ΔE_f, eV/atom: -0.065
Size of the total moment, μB per cell: 0.0
Mass density, g cm⁻³: 6.18
Symmetry: I4/mmm (139)

=====

no.,E (eV per cell)
1,-6.264
2,-25.690
3,-15.021
4,-59.019